PBE-GGA TcBi3O7, optimized geometry; total DFT energy (no corrections) = -0.237 hartree per atom; total magnetic moment = 3.58 μB per cell
1.0
6.7120 0.1266 0.0000
-2.2059 6.3404 0.0000
0.0000 0.0000 7.5782
Tc Bi O
2 6 14
Direct
0.9968 0.9968 0.5000 Tc
0.0032 0.0032 0.0000 Tc
0.4555 0.4555 0.5000 Bi
0.5445 0.5445 0.0000 Bi
0.5263 0.0020 0.2563 Bi
0.4737 0.9980 0.7563 Bi
0.0020 0.5263 0.7437 Bi
0.9980 0.4737 0.2437 Bi
0.7010 0.9578 0.5360 O
0.2990 0.0422 0.0360 O
0.9578 0.7010 0.4640 O
0.0422 0.2990 0.9640 O
0.0797 0.3162 0.5328 O
0.9203 0.6838 0.0328 O
0.3162 0.0797 0.4672 O
0.6838 0.9203 0.9672 O
0.3644 0.6356 0.2500 O
0.6356 0.3644 0.7500 O
0.6377 0.3623 0.2500 O
0.3623 0.6377 0.7500 O
0.9496 0.0504 0.2500 O
0.0504 0.9496 0.7500 O